Computed, not measured: a relaxed PmNd6Dy2Y3 crystal at the PBE-GGA level of DFT.

The structure belongs to space group C2/m (No. 12); the cell edges are 6.301, 10.913 and 11.937 Å and the angles 90.00°, 100.10° and 90.00°. The inequivalent atoms are Pm at (0.000, 0.000, 0.000), Nd at (0.249, 0.333, 0.750), Nd at (0.250, 0.000, 0.750), Dy at (0.000, 0.333, 0.000), Y at (0.000, 0.167, 0.500) and Y at (0.000, 0.500, 0.500).

The formation energy comes out at 0.010 eV per atom.

Computed, not measured: a relaxed KTe2NO crystal at the PBE-GGA level of DFT.

The structure belongs to space group P4/mmm (No. 123); the cell edges are 6.768, 6.768 and 5.337 Å and the angles 90.00°, 90.00° and 90.00°. The inequivalent atoms are K at (0.000, 0.000, 0.000), Te at (0.000, 0.500, 0.000), N at (0.000, 0.000, 0.500) and O at (0.500, 0.500, 0.500).

The formation energy (no corrections) comes out at 1.877 eV/atom. The energy above the most stable polymorph in this dataset comes out at 1.283 eV/atom.

Computed, not measured: a relaxed Ca2AcPr crystal at the PBE-GGA level of DFT.

The structure belongs to space group R3m (No. 160, hexagonal axes); the cell edges are 3.8409, 3.8409 and 38.0086 Å and the angles 90.00°, 90.00° and 120.00°. The inequivalent atoms are Ca at (0.0000, 0.0000, 0.0000), Ca at (0.0000, 0.0000, 0.1619), Ac at (0.0000, 0.0000, 0.5808) and Pr at (0.0000, 0.0000, 0.4145).

The formation energy comes out at 0.062 eV per atom. The energy above the most stable polymorph in this dataset comes out at 0.044 eV/atom.

no.,V (Å³/cell),ρ (g/cm3)
1,808,6.58
2,245,2.20
3,486,4.60